A relaxed structure of FeCo2IO6. Source: the Alexandria database, functional GGA+U.

abc: 5.288 5.296 5.426
angles: 61.40 61.87 60.98
Atoms (fractional coordinates):
Fe 0.000 0.000 0.000
Co 0.295 0.300 0.112
Co 0.793 0.791 0.630
I 0.501 0.500 0.497
O 0.110 0.410 0.820
O 0.168 0.943 0.322
O 0.413 0.663 0.826
O 0.557 0.179 0.335
O 0.662 0.111 0.824
O 0.940 0.560 0.323

Output
**Magnetization**: 7.02 μB per cell
**Uncorrected energy**: -54.62 eV for the cell shown
**Density**: 5.94 Mg/m³